[1]
This record from Alexandria describes crystalline Ba2HfReAg at its relaxed geometry. The functional is PBE.

Uncorrected energy   -4.2891 eV/atom
Energy relative to the elements   1.531 eV per atom
Density of states at the Fermi level   11.2 states/eV/f.u.

Cell lengths 5.684, 5.684, 5.239 Å; angles 90.00, 90.00, 90.00 degrees
Atoms (fractional coordinates):
Ba1 0.000 0.500 0.000
Ba2 0.500 0.000 0.000
Hf1 0.000 0.000 0.500
Re1 0.500 0.500 0.000
Ag1 0.500 0.500 0.500

---

[2]
This record from Alexandria describes crystalline Ba3HfAg2S6 at its relaxed geometry. The functional is PBE.

Uncorrected energy   -5.1193 eV/atom
Density of states at the Fermi level   0.0 states/eV/f.u.

Cell lengths 7.350, 7.350, 7.774 Å; angles 90.00, 90.00, 120.00 degrees
Atoms (fractional coordinates):
Ba1 0.000 0.000 0.000
Ba2 0.333 0.667 0.609
Ba3 0.667 0.333 0.391
Hf1 0.000 0.000 0.500
Ag1 0.333 0.667 0.156
Ag2 0.667 0.333 0.844
S1 0.161 0.321 0.306
S2 0.161 0.839 0.306
S3 0.321 0.161 0.694
S4 0.679 0.839 0.306
S5 0.839 0.161 0.694
S6 0.839 0.679 0.694

---

[3]
This record from Alexandria describes crystalline Ba2HfAgS5 at its relaxed geometry. The functional is PBE.

Uncorrected energy   -5.5600 eV/atom
Density of states at the Fermi level   3.0 states/eV/f.u.

Cell lengths 9.617, 9.617, 12.675 Å; angles 90.00, 90.00, 156.40 degrees
Atoms (fractional coordinates):
Ba1 0.120 0.880 0.500
Ba2 0.126 0.874 0.109
Ba3 0.874 0.126 0.609
Ba4 0.880 0.120 0.000
Hf1 0.216 0.784 0.811
Hf2 0.784 0.216 0.311
Ag1 0.453 0.547 0.248
Ag2 0.547 0.453 0.748
S1 0.079 0.921 0.851
S2 0.286 0.714 0.446
S3 0.295 0.705 0.175
S4 0.348 0.652 0.808
S5 0.500 0.500 0.072
S6 0.500 0.500 0.572
S7 0.652 0.348 0.308
S8 0.705 0.295 0.675
S9 0.714 0.286 0.946
S10 0.921 0.079 0.351

---

[4]
This record from Alexandria describes crystalline BaHfAg2S4 at its relaxed geometry. The functional is PBE.

Uncorrected energy   -5.3881 eV/atom

Cell lengths 6.621, 7.426, 8.404 Å; angles 90.00, 90.00, 90.00 degrees
Atoms (fractional coordinates):
Ba1 0.000 0.000 0.000
Ba2 0.500 0.500 0.500
Hf1 0.000 0.000 0.500
Hf2 0.500 0.500 0.000
Ag1 0.000 0.500 0.174
Ag2 0.000 0.500 0.826
Ag3 0.500 0.000 0.326
Ag4 0.500 0.000 0.674
S1 0.198 0.193 0.670
S2 0.198 0.807 0.330
S3 0.302 0.307 0.170
S4 0.302 0.693 0.830
S5 0.698 0.307 0.830
S6 0.698 0.693 0.170
S7 0.802 0.193 0.330
S8 0.802 0.807 0.670

---

[5]
This record from Alexandria describes crystalline BaHfAg2Se4 at its relaxed geometry. The functional is PBE.

Uncorrected energy   -4.9524 eV/atom

Cell lengths 6.878, 7.809, 8.680 Å; angles 90.00, 90.00, 90.00 degrees
Atoms (fractional coordinates):
Ba1 0.000 0.000 0.000
Ba2 0.500 0.500 0.500
Hf1 0.000 0.000 0.500
Hf2 0.500 0.500 0.000
Ag1 0.000 0.500 0.167
Ag2 0.000 0.500 0.833
Ag3 0.500 0.000 0.333
Ag4 0.500 0.000 0.667
Se1 0.199 0.195 0.673
Se2 0.199 0.805 0.327
Se3 0.301 0.305 0.173
Se4 0.301 0.695 0.827
Se5 0.699 0.305 0.827
Se6 0.699 0.695 0.173
Se7 0.801 0.195 0.327
Se8 0.801 0.805 0.673

---

[6]
This record from Alexandria describes crystalline Ba2HfAgTe5 at its relaxed geometry. The functional is PBE.

Uncorrected energy   -4.6162 eV/atom
Density of states at the Fermi level   4.5 states/eV/f.u.

Cell lengths 10.496, 10.496, 13.815 Å; angles 90.00, 90.00, 155.75 degrees
Atoms (fractional coordinates):
Ba1 0.121 0.879 0.500
Ba2 0.122 0.878 0.125
Ba3 0.878 0.122 0.625
Ba4 0.879 0.121 0.000
Hf1 0.195 0.805 0.822
Hf2 0.805 0.195 0.322
Ag1 0.430 0.570 0.234
Ag2 0.570 0.430 0.734
Te1 0.055 0.945 0.853
Te2 0.294 0.706 0.463
Te3 0.297 0.703 0.176
Te4 0.338 0.662 0.815
Te5 0.499 0.501 0.565
Te6 0.501 0.499 0.065
Te7 0.662 0.338 0.315
Te8 0.703 0.297 0.676
Te9 0.706 0.294 0.963
Te10 0.945 0.055 0.353

---

[7]
This record from Alexandria describes crystalline BaHfAg2Te4 at its relaxed geometry. The functional is PBE.

Uncorrected energy   -4.4570 eV/atom

Cell lengths 7.305, 8.452, 9.115 Å; angles 90.00, 90.00, 90.00 degrees
Atoms (fractional coordinates):
Ba1 0.000 0.000 0.000
Ba2 0.500 0.500 0.500
Hf1 0.000 0.000 0.500
Hf2 0.500 0.500 0.000
Ag1 0.000 0.500 0.158
Ag2 0.000 0.500 0.842
Ag3 0.500 0.000 0.342
Ag4 0.500 0.000 0.658
Te1 0.205 0.196 0.323
Te2 0.205 0.804 0.677
Te3 0.295 0.304 0.823
Te4 0.295 0.696 0.177
Te5 0.705 0.304 0.177
Te6 0.705 0.696 0.823
Te7 0.795 0.196 0.677
Te8 0.795 0.804 0.323

---

[8]
This record from Alexandria describes crystalline BaHfTiAg2 at its relaxed geometry. The functional is PBE.

Uncorrected energy   -3.2891 eV/atom
Energy relative to the elements   1.806 eV per atom
Density of states at the Fermi level   5.4 states/eV/f.u.

Cell lengths 5.407, 5.407, 5.233 Å; angles 90.00, 90.00, 90.00 degrees
Atoms (fractional coordinates):
Ba1 0.000 0.000 0.000
Hf1 0.500 0.500 0.500
Ti1 0.000 0.000 0.500
Ag1 0.000 0.500 0.000
Ag2 0.500 0.000 0.000

---

[9]
This record from Alexandria describes crystalline BaHf2AgW at its relaxed geometry. The functional is PBE.

Uncorrected energy   -6.4660 eV/atom
Energy relative to the elements   1.061 eV per atom
Density of states at the Fermi level   6.2 states/eV/f.u.

Cell lengths 5.101, 5.101, 6.060 Å; angles 90.00, 90.00, 90.00 degrees
Atoms (fractional coordinates):
Ba1 0.000 0.000 0.000
Hf1 0.000 0.500 0.500
Hf2 0.500 0.000 0.500
Ag1 0.500 0.500 0.000
W1 0.000 0.000 0.500

---

[10]
This record from Alexandria describes crystalline BaAg2Hg at its relaxed geometry. The functional is PBE.

Uncorrected energy   -2.0905 eV/atom
Energy relative to the elements   -0.109 eV per atom
Density of states at the Fermi level   1.3 states/eV/f.u.

Cell lengths 3.937, 3.937, 7.187 Å; angles 90.00, 90.00, 90.00 degrees
Atoms (fractional coordinates):
Ba1 0.000 0.000 0.000
Ag1 0.500 0.500 0.301
Ag2 0.500 0.500 0.699
Hg1 0.000 0.000 0.500

---

[11]
This record from Alexandria describes crystalline BaAg2Hg at its relaxed geometry. The functional is PBE.

Uncorrected energy   -2.1698 eV/atom
Energy relative to the elements   -0.188 eV per atom
Density of states at the Fermi level   1.7 states/eV/f.u.

Cell lengths 4.986, 8.398, 6.252 Å; angles 90.00, 113.43, 90.00 degrees
Atoms (fractional coordinates):
Ba1 0.056 0.250 0.113
Ba2 0.944 0.750 0.887
Ag1 0.248 0.582 0.497
Ag2 0.248 0.918 0.497
Ag3 0.752 0.082 0.503
Ag4 0.752 0.418 0.503
Hg1 0.353 0.250 0.706
Hg2 0.647 0.750 0.294

---

[12]
This record from Alexandria describes crystalline Ba2Ag2Hg at its relaxed geometry. The functional is PBE.

Uncorrected energy   -2.1658 eV/atom
Energy relative to the elements   -0.196 eV per atom
Distance to the lowest polymorph of the same formula   0.72 eV per formula unit
Density of states at the Fermi level   2.6 states/eV/f.u.

Cell lengths 9.340, 9.340, 4.302 Å; angles 90.00, 90.00, 90.00 degrees
Atoms (fractional coordinates):
Ba1 0.174 0.326 0.000
Ba2 0.326 0.826 0.000
Ba3 0.674 0.174 0.000
Ba4 0.826 0.674 0.000
Ag1 0.112 0.612 0.500
Ag2 0.388 0.112 0.500
Ag3 0.612 0.888 0.500
Ag4 0.888 0.388 0.500
Hg1 0.000 0.000 0.000
Hg2 0.500 0.500 0.000

---

Among the records above, which one has the highest uncorrected energy? number 10

---

What is the uncorrected energy in the seventh record? -4.4570 eV/atom

---

The highest uncorrected energy belongs to which entry? number 10